First-principles (PBE with a Hubbard U) data for a geometry-optimized NaPrEuWO6 structure, as listed in the Alexandria database.

Cell: 5.7556 5.7556 5.7556 Å, 60.00 60.00 60.00°
Closest atoms and distances in Å follow each position.
Atoms (fractional coordinates):
Na1 0.0000 0.0000 0.0000  6 O 2.14
Pr1 0.2500 0.2500 0.2500  12 O 2.88
Eu1 0.7500 0.7500 0.7500  12 O 2.88
W1 0.5000 0.5000 0.5000  6 O 1.93
O1 0.2625 0.2625 0.7375  1 W 1.93, 1 Na 2.14
O2 0.2625 0.7375 0.2625  1 W 1.93, 1 Na 2.14
O3 0.2625 0.7375 0.7375  1 W 1.93, 1 Na 2.14
O4 0.7375 0.2625 0.2625  1 W 1.93, 1 Na 2.14
O5 0.7375 0.2625 0.7375  1 W 1.93, 1 Na 2.14
O6 0.7375 0.7375 0.2625  1 W 1.93, 1 Na 2.14

- E above lowest polymorph: 2.13 eV per formula unit
- DOS at the Fermi energy: 1.92 states/eV/f.u.
- Spin magnetization: 7.002 μB/f.u.
- ρ: 7.34 g/cm3